(1)
# LaY2Sb (PBE-GGA, optimized geometry)
# Theoretical density (Mg/m³): 5.87
# Raw formation energy (eV per atom): -0.48
data_LaY2Sb
_symmetry_space_group_name_H-M 'C 1 m 1'
_symmetry_Int_Tables_number 8
_symmetry_space_group_name_Hall 'C -2y'
_cell_length_a 12.7044
_cell_length_b 4.1014
_cell_length_c 5.2195
_cell_angle_alpha 90.00
_cell_angle_beta 114.24
_cell_angle_gamma 90.00
loop_
_atom_site_label
_atom_site_fract_x
_atom_site_fract_y
_atom_site_fract_z
La1 0.0000 0.0000 0.0000
Y1 0.2156 0.0000 0.7108
Y2 0.4342 0.0000 0.4338
Sb1 0.2292 0.5000 0.2230



(2)
# Nd4MgTl3 (PBE-GGA, optimized geometry)
# Formation energy (meV/atom): -263
# Theoretical density (Mg/m³): 8.25
# Relative energy among the computed polymorphs (meV per atom): 59
data_Nd4MgTl3
_symmetry_space_group_name_H-M 'P m m 2'
_symmetry_Int_Tables_number 25
_symmetry_space_group_name_Hall 'P 2 -2'
_cell_length_a 3.8932
_cell_length_b 4.9931
_cell_length_c 12.5706
_cell_angle_alpha 90.00
_cell_angle_beta 90.00
_cell_angle_gamma 90.00
loop_
_atom_site_label
_atom_site_fract_x
_atom_site_fract_y
_atom_site_fract_z
Nd1 0.0000 0.0000 0.0000
Nd2 0.0000 0.5000 0.3085
Nd3 0.5000 0.0000 0.5012
Nd4 0.5000 0.5000 0.8147
Mg1 0.0000 0.0000 0.7246
Tl1 0.0000 0.5000 0.5803
Tl2 0.5000 0.0000 0.2389
Tl3 0.5000 0.5000 0.0756



(3)
# LuPuCo2 (PBE-GGA, optimized geometry)
# Formation energy (meV/atom): -110
# Theoretical density (Mg/m³): 12.25
# Relative energy among the computed polymorphs (meV per atom): 0
data_LuPuCo2
_symmetry_space_group_name_H-M 'R -3 m'
_symmetry_Int_Tables_number 166
_symmetry_space_group_name_Hall '-R 3 2"'
_cell_length_a 4.2181
_cell_length_b 4.2181
_cell_length_c 14.1692
_cell_angle_alpha 90.00
_cell_angle_beta 90.00
_cell_angle_gamma 120.00
loop_
_atom_site_label
_atom_site_fract_x
_atom_site_fract_y
_atom_site_fract_z
Lu1 0.0000 0.0000 0.0000
Pu1 0.0000 0.0000 0.5000
Co1 0.0000 0.0000 0.2131



(4)
# La2TlPtO6 (PBE-GGA, optimized geometry)
# Theoretical density (Mg/m³): 8.52
# Raw formation energy (eV per atom): -1.96
data_La2TlPtO6
_symmetry_space_group_name_H-M 'P 1 21/c 1'
_symmetry_Int_Tables_number 14
_symmetry_space_group_name_Hall '-P 2ybc'
_cell_length_a 5.7448
_cell_length_b 6.2378
_cell_length_c 10.1215
_cell_angle_alpha 90.00
_cell_angle_beta 123.79
_cell_angle_gamma 90.00
loop_
_atom_site_label
_atom_site_fract_x
_atom_site_fract_y
_atom_site_fract_z
La1 0.2184 0.0594 0.2388
Tl1 0.0000 0.0000 0.5000
Pt1 0.5000 0.0000 0.0000
O1 0.1547 0.1679 0.9575
O2 0.2488 0.7303 0.9078
O3 0.4132 0.0808 0.7803



(5)
# Ba2TeO6 (PBE-GGA, optimized geometry)
# Theoretical density (Mg/m³): 5.59
# Raw formation energy (eV per atom): -1.39
# Relative energy among the computed polymorphs (meV per atom): 288
data_Ba2TeO6
_symmetry_space_group_name_H-M 'C 1 2/m 1'
_symmetry_Int_Tables_number 12
_symmetry_space_group_name_Hall '-C 2y'
_cell_length_a 12.1119
_cell_length_b 6.2343
_cell_length_c 4.0538
_cell_angle_alpha 90.00
_cell_angle_beta 104.65
_cell_angle_gamma 90.00
loop_
_atom_site_label
_atom_site_fract_x
_atom_site_fract_y
_atom_site_fract_z
Ba1 0.1640 0.0000 0.1763
Te1 0.0000 0.5000 0.5000
O1 0.0000 0.3059 0.0000
O2 0.1251 0.2889 0.6427



(6)
# Ac2Y7Er4 (PBE-GGA, optimized geometry)
# Formation energy (meV/atom): 239
# Theoretical density (Mg/m³): 6.51
data_Ac2Y7Er4
_symmetry_space_group_name_H-M 'P -3 1 m'
_symmetry_Int_Tables_number 162
_symmetry_space_group_name_Hall '-P 3 2'
_cell_length_a 6.1995
_cell_length_b 6.1995
_cell_length_c 13.3842
_cell_angle_alpha 90.00
_cell_angle_beta 90.00
_cell_angle_gamma 120.00
loop_
_atom_site_label
_atom_site_fract_x
_atom_site_fract_y
_atom_site_fract_z
Ac1 0.3333 0.6667 0.0000
Y1 0.0000 0.0000 0.0000
Y2 0.0000 0.3554 0.7772
Er1 0.0000 0.0000 0.3963
Er2 0.3333 0.6667 0.5000



(7)
# DyYTmZr (PBE-GGA, optimized geometry)
# Formation energy (meV/atom): 88
# Theoretical density (Mg/m³): 7.42
# Relative energy among the computed polymorphs (meV per atom): 0
data_DyYTmZr
_symmetry_space_group_name_H-M 'I -4 m 2'
_symmetry_Int_Tables_number 119
_symmetry_space_group_name_Hall 'I -4 -2'
_cell_length_a 4.8604
_cell_length_b 4.8604
_cell_length_c 9.6873
_cell_angle_alpha 90.00
_cell_angle_beta 90.00
_cell_angle_gamma 90.00
loop_
_atom_site_label
_atom_site_fract_x
_atom_site_fract_y
_atom_site_fract_z
Dy1 0.0000 0.0000 0.0000
Y1 0.0000 0.5000 0.2500
Tm1 0.0000 0.5000 0.7500
Zr1 0.0000 0.0000 0.5000



(8)
# SnHgP2O8 (PBE-GGA, optimized geometry)
# Theoretical density (Mg/m³): 5.69
# Raw formation energy (eV per atom): -1.67
data_SnHgP2O8
_symmetry_space_group_name_H-M 'R -3'
_symmetry_Int_Tables_number 148
_symmetry_space_group_name_Hall '-R 3'
_cell_length_a 4.8056
_cell_length_b 4.8056
_cell_length_c 22.3063
_cell_angle_alpha 90.00
_cell_angle_beta 90.00
_cell_angle_gamma 120.00
loop_
_atom_site_label
_atom_site_fract_x
_atom_site_fract_y
_atom_site_fract_z
Sn1 0.0000 0.0000 0.0000
Hg1 0.0000 0.0000 0.5000
P1 0.0000 0.0000 0.2542
O1 0.0000 0.0000 0.1847
O2 0.0110 0.6998 0.7232